## ErTmSi2Mo2C (PBE)

Data for an optimized crystal structure of ErTmSi2Mo2C.

extended XYZ file:
```
14
Lattice="11.1155 0.0000 0.0000 0.0000 3.7782 0.0000 -4.1224 0.0000 5.7611" Properties=species:S:1:pos:R:3 pbc="T T T"
Er 0.0000 0.0000 0.0000
Er 5.5577 1.8891 0.0000
Tm 2.2046 1.8891 2.3653
Tm 7.7623 0.0000 2.3653
Si -0.8947 1.8891 2.1112
Si 3.0952 0.0000 0.2531
Si 4.6630 0.0000 2.1112
Si 8.6530 1.8891 0.2531
Mo -1.8033 1.8891 4.5537
Mo -0.1162 0.0000 3.5673
Mo 3.7545 0.0000 4.5537
Mo 5.4416 1.8891 3.5673
C 1.8199 0.0000 4.0560
C 7.3776 1.8891 4.0560
```

Values from the calculation:
- M_tot: 0.01 μB/cell
- Total energy: -7.854 eV per atom

## Ba2In4IrPt (PBE)

Data for an optimized crystal structure of Ba2In4IrPt.

extended XYZ file:
```
16
Lattice="8.1678 0.0000 0.0000 0.0000 4.5384 0.0000 0.0000 0.0000 11.5936" Properties=species:S:1:pos:R:3 pbc="T T T"
Ba 0.0000 0.0000 0.0000
Ba 0.0000 2.2692 5.7968
Ba 4.0839 0.0000 1.2809
Ba 4.0839 2.2692 7.0776
In 1.5622 0.0000 8.3119
In 1.5622 2.2692 2.5151
In 2.4687 0.0000 4.5614
In 2.4687 2.2692 10.3582
In 5.6991 0.0000 4.5614
In 5.6991 2.2692 10.3582
In 6.6056 0.0000 8.3119
In 6.6056 2.2692 2.5151
Ir 0.0000 0.0000 3.1854
Ir 0.0000 2.2692 8.9821
Pt 4.0839 0.0000 9.6574
Pt 4.0839 2.2692 3.8606
```

Values from the calculation:
- M_tot: 0.03 μB/cell
- Total energy: -4.218 eV per atom

## Tb2HoAl3CuSi2 (PBE)

Data for an optimized crystal structure of Tb2HoAl3CuSi2.

extended XYZ file:
```
9
Lattice="4.1800 0.0000 0.0000 0.0000 5.9873 3.4608 0.0000 -5.9873 3.4608" Properties=species:S:1:pos:R:3 pbc="T T T"
Tb 0.0000 -3.5555 3.4608
Tb 0.0000 3.5555 3.4608
Ho 0.0000 0.0000 4.2168
Al 2.0900 -1.4186 2.2331
Al 2.0900 1.4186 2.2331
Al 2.0900 0.0000 6.6835
Cu 0.0000 0.0000 1.4196
Si 2.0900 -1.9841 4.8654
Si 2.0900 1.9841 4.8654
```

Values from the calculation:
- M_tot: 0.00 μB/cell
- Total energy: -5.039 eV per atom

## Cu (PBE)

Data for an optimized crystal structure of Cu.

extended XYZ file:
```
8
Lattice="3.9858 0.0000 0.0000 0.0000 8.9239 0.0000 0.0000 0.0000 2.7105" Properties=species:S:1:pos:R:3 pbc="T T T"
Cu 0.0000 1.1909 0.0034
Cu 0.0000 3.2710 1.3587
Cu 0.0000 5.6528 1.3518
Cu 0.0000 7.7330 2.7071
Cu 1.9929 1.1909 1.3518
Cu 1.9929 3.2710 2.7071
Cu 1.9929 5.6528 0.0034
Cu 1.9929 7.7330 1.3587
```

Values from the calculation:
- ΔH_f (0 K): 0.20 eV per formula unit
- Relative energy among the computed polymorphs: 0.20 eV/f.u.

## NaLiPt (PBE)

Data for an optimized crystal structure of NaLiPt.

extended XYZ file:
```
12
Lattice="6.2959 0.0000 0.0000 0.0000 6.2959 0.0000 0.0000 0.0000 6.2959" Properties=species:S:1:pos:R:3 pbc="T T T"
Na 0.0000 0.0000 0.0000
Na 0.0000 3.1479 3.1479
Na 3.1479 0.0000 3.1479
Na 3.1479 3.1479 0.0000
Li 1.5740 1.5740 4.7219
Li 1.5740 4.7219 1.5740
Li 4.7219 1.5740 1.5740
Li 4.7219 4.7219 4.7219
Pt 1.5740 1.5740 1.5740
Pt 1.5740 4.7219 4.7219
Pt 4.7219 1.5740 4.7219
Pt 4.7219 4.7219 1.5740
```

Values from the calculation:
- M_tot: 0.00 μB/cell
- Relative energy among the computed polymorphs: 0.74 eV/f.u.

## PmPrPO (PBE)

Data for an optimized crystal structure of PmPrPO.

extended XYZ file:
```
8
Lattice="4.4292 0.0000 0.0000 0.0000 4.4292 0.0000 0.0000 0.0000 9.0883" Properties=species:S:1:pos:R:3 pbc="T T T"
Pm 1.1073 3.3219 0.0000
Pm 3.3219 1.1073 0.0000
Pr 1.1073 1.1073 3.5528
Pr 3.3219 3.3219 5.5356
P 1.1073 1.1073 7.3162
P 3.3219 3.3219 1.7721
O 1.1073 3.3219 4.5442
O 3.3219 1.1073 4.5442
```

Values from the calculation:
- M_tot: 0.02 μB/cell
- Relative energy among the computed polymorphs: 0.42 eV/f.u.

## ScSiPd (PBE)

Data for an optimized crystal structure of ScSiPd.

extended XYZ file:
```
12
Lattice="5.5814 0.0000 0.0000 0.0000 4.2768 0.0000 0.0000 0.0000 8.4866" Properties=species:S:1:pos:R:3 pbc="T T T"
Sc 0.9463 1.0692 0.7591
Sc 1.8445 3.2076 5.0024
Sc 3.7370 1.0692 3.4842
Sc 4.6352 3.2076 7.7275
Si 0.9733 1.0692 3.5173
Si 1.8174 3.2076 7.7606
Si 3.7640 1.0692 0.7260
Si 4.6082 3.2076 4.9692
Pd 0.0525 3.2076 2.6188
Pd 2.7382 1.0692 6.8621
Pd 2.8432 3.2076 1.6245
Pd 5.5290 1.0692 5.8677
```

Values from the calculation:
- M_tot: 0.01 μB/cell
- Total energy: -6.392 eV per atom

## Sr2BeCu (PBE)

Data for an optimized crystal structure of Sr2BeCu.

extended XYZ file:
```
16
Lattice="7.1700 0.0000 0.0000 0.0000 7.1700 0.0000 0.0000 0.0000 7.1700" Properties=species:S:1:pos:R:3 pbc="T T T"
Sr 0.0000 0.0000 0.0000
Sr 0.0000 3.5850 3.5850
Sr 1.7925 1.7925 1.7925
Sr 1.7925 5.3775 5.3775
Sr 3.5850 0.0000 3.5850
Sr 3.5850 3.5850 0.0000
Sr 5.3775 1.7925 5.3775
Sr 5.3775 5.3775 1.7925
Be 1.7925 1.7925 5.3775
Be 1.7925 5.3775 1.7925
Be 5.3775 1.7925 1.7925
Be 5.3775 5.3775 5.3775
Cu 0.0000 0.0000 3.5850
Cu 0.0000 3.5850 0.0000
Cu 3.5850 0.0000 0.0000
Cu 3.5850 3.5850 3.5850
```

Values from the calculation:
- Total energy: -2.191 eV per atom

## NaPrHg (PBE)

Data for an optimized crystal structure of NaPrHg.

extended XYZ file:
```
12
Lattice="7.3185 0.0000 0.0000 0.0000 7.3185 0.0000 0.0000 0.0000 7.3185" Properties=species:S:1:pos:R:3 pbc="T T T"
Na 0.0000 0.0000 0.0000
Na 0.0000 3.6592 3.6592
Na 3.6592 0.0000 3.6592
Na 3.6592 3.6592 0.0000
Pr 0.0000 0.0000 3.6592
Pr 0.0000 3.6592 0.0000
Pr 3.6592 0.0000 0.0000
Pr 3.6592 3.6592 3.6592
Hg 1.8296 1.8296 1.8296
Hg 1.8296 5.4888 5.4888
Hg 5.4888 1.8296 5.4888
Hg 5.4888 5.4888 1.8296
```

Values from the calculation:
- M_tot: 0.55 μB/cell
- Relative energy among the computed polymorphs: 0.00 eV/f.u.

## NdSnAs (PBE)

Data for an optimized crystal structure of NdSnAs.

extended XYZ file:
```
12
Lattice="7.0559 0.0000 0.0000 0.0000 7.0559 0.0000 0.0000 0.0000 7.0559" Properties=species:S:1:pos:R:3 pbc="T T T"
Nd 0.0000 0.0000 0.0000
Nd 0.0000 3.5280 3.5280
Nd 3.5280 0.0000 3.5280
Nd 3.5280 3.5280 0.0000
Sn 0.0000 0.0000 3.5280
Sn 0.0000 3.5280 0.0000
Sn 3.5280 0.0000 0.0000
Sn 3.5280 3.5280 3.5280
As 1.7640 1.7640 1.7640
As 1.7640 5.2919 5.2919
As 5.2919 1.7640 5.2919
As 5.2919 5.2919 1.7640
```

Values from the calculation:
- M_tot: 0.01 μB/cell
- Total energy: -4.974 eV per atom

## LuSiW (PBE)

Data for an optimized crystal structure of LuSiW.

extended XYZ file:
```
12
Lattice="6.1972 0.0000 0.0000 0.0000 6.1972 0.0000 0.0000 0.0000 6.1972" Properties=species:S:1:pos:R:3 pbc="T T T"
Lu 0.0000 0.0000 0.0000
Lu 0.0000 3.0986 3.0986
Lu 3.0986 0.0000 3.0986
Lu 3.0986 3.0986 0.0000
Si 1.5493 1.5493 1.5493
Si 1.5493 4.6479 4.6479
Si 4.6479 1.5493 4.6479
Si 4.6479 4.6479 1.5493
W 0.0000 0.0000 3.0986
W 0.0000 3.0986 0.0000
W 3.0986 0.0000 0.0000
W 3.0986 3.0986 3.0986
```

Values from the calculation:
- M_tot: 1.19 μB/cell
- Total energy: -7.471 eV per atom

## ErTmB (PBE)

Data for an optimized crystal structure of ErTmB.

extended XYZ file:
```
12
Lattice="6.3225 0.0000 0.0000 0.0000 6.3225 0.0000 0.0000 0.0000 6.3225" Properties=species:S:1:pos:R:3 pbc="T T T"
Er 0.0000 0.0000 0.0000
Er 0.0000 3.1612 3.1612
Er 3.1612 0.0000 3.1612
Er 3.1612 3.1612 0.0000
Tm 0.0000 0.0000 3.1612
Tm 0.0000 3.1612 0.0000
Tm 3.1612 0.0000 0.0000
Tm 3.1612 3.1612 3.1612
B 1.5806 1.5806 1.5806
B 1.5806 4.7419 4.7419
B 4.7419 1.5806 4.7419
B 4.7419 4.7419 1.5806
```

Values from the calculation:
- M_tot: 0.02 μB/cell
- Relative energy among the computed polymorphs: 0.00 eV/f.u.